The following is a DFT calculation (PBE) of crystalline K2Rb3Hg3 at its relaxed geometry.

Cell lengths 4.4608, 6.5343, 14.2891 Å; angles 103.22, 98.98, 90.00 degrees
With the nearest neighbours (Å) after each atom.
Fractional positions:
Rb1 0.5000 0.0000 0.0000  8 Hg 3.84-3.96
Rb2 0.6139 0.6139 0.2278  6 Hg 3.84-3.96
Rb3 0.3861 0.3861 0.7722  6 Hg 3.84-3.96
Hg1 0.0000 0.5000 0.0000  8 Rb 3.84-3.96
Hg2 0.1140 0.1140 0.2280  2 K 3.65, 6 Rb 3.84-3.96
Hg3 0.8860 0.8860 0.7720  2 K 3.65, 6 Rb 3.84-3.96
K1 0.7192 0.2192 0.4384  2 Hg 3.65
K2 0.2808 0.7808 0.5616  2 Hg 3.65

## Properties
The polymorph energy (0 for the lowest one) comes out at 37 meV/atom. The formation energy comes out at -0.139 eV per atom.